Entry 1:
GGA-PBE Pr3Sm4In, optimized geometry; energy of formation = -0.10 eV per atom; D(E_F) = 1.191 states/eV/atom; SG = Pmn2_1; theoretical density = 7.16 g cm⁻³
1.0
-4.3137 -3.8766 -2.5197
4.0173 -5.7192 1.9215
-5.4937 -0.4608 10.1141
In Sm Pr
2 8 6
direct
0.4793 0.8733 0.5000 In
0.9793 0.1267 0.0000 In
0.9583 0.6239 0.0000 Sm
0.4930 0.3692 0.0000 Sm
0.4583 0.3761 0.5000 Sm
0.1394 0.3709 0.2337 Sm
0.9930 0.6308 0.5000 Sm
0.6394 0.6291 0.7337 Sm
0.6394 0.6291 0.2663 Sm
0.1394 0.3709 0.7663 Sm
0.9933 0.1273 0.5000 Pr
0.6562 0.1163 0.2582 Pr
0.1562 0.8837 0.2418 Pr
0.6562 0.1163 0.7418 Pr
0.4933 0.8727 0.0000 Pr
0.1562 0.8837 0.7582 Pr


Entry 2:
GGA-PBE Sm9Dy11Er4, optimized geometry; energy of formation = 0.05 eV per atom; D(E_F) = 1.296 states/eV/atom; SG = Cmmm; theoretical density = 8.10 g cm⁻³
1.0
-0.2318 -3.5929 0.7467
8.3555 -3.1003 -12.3244
8.3398 2.0700 12.5491
Dy Sm Er
11 9 4
direct
0.0000 0.2910 0.2910 Dy
0.0000 0.0000 0.0000 Dy
0.0000 0.6318 0.3682 Dy
0.0000 0.4057 0.0446 Dy
0.0000 0.0446 0.4057 Dy
0.0000 0.9554 0.5943 Dy
0.0000 0.3682 0.6318 Dy
0.0000 0.1612 0.8388 Dy
0.0000 0.7090 0.7090 Dy
0.0000 0.5943 0.9554 Dy
0.0000 0.8388 0.1612 Dy
0.5000 0.5000 0.5000 Sm
0.5000 0.1641 0.6298 Sm
0.5000 0.0667 0.2139 Sm
0.5000 0.2139 0.0667 Sm
0.5000 0.8359 0.3702 Sm
0.5000 0.7861 0.9333 Sm
0.5000 0.9333 0.7861 Sm
0.5000 0.3702 0.8359 Sm
0.5000 0.6298 0.1641 Sm
0.5000 0.2433 0.4448 Er
0.5000 0.4448 0.2433 Er
0.5000 0.5552 0.7567 Er
0.5000 0.7567 0.5552 Er


Entry 3:
GGA-PBE Y2ScSiH, optimized geometry; D(E_F) = 1.026 states/eV/atom; VASP energy = -5.96 eV per atom; SG = P4/mmm; theoretical density = 4.40 g cm⁻³
1.0
4.6367 0.0000 0.0000
0.0000 4.6367 0.0000
0.0000 0.0000 4.4247
Sc Y H Si
1 2 1 1
direct
0.0000 0.0000 0.5000 Sc
0.5000 0.0000 0.0000 Y
0.0000 0.5000 0.0000 Y
0.0000 0.0000 0.0000 H
0.5000 0.5000 0.5000 Si


Entry 4:
GGA-PBE CdCu2As, optimized geometry; energy of formation = 0.28 eV per atom; D(E_F) = 0.543 states/eV/atom; SG = F-43m; theoretical density = 7.85 g cm⁻³
1.0
-1.7223 -3.7944 -1.8207
2.3562 -2.2837 -3.1483
1.8259 -4.0397 1.0127
Cd Cu As
1 2 1
direct
0.2500 0.2500 0.2500 Cd
0.0000 0.0000 0.0000 Cu
0.7500 0.7500 0.7500 Cu
0.5000 0.5000 0.5000 As